{"formula": "TaNiPb2", "functional": "PBE", "state": "optimized geometry", "lattice_angstrom": [[5.218, 0.018, 0.054], [4.254, 3.023, 0.054], [1.891, 0.607, 5.282]], "species": ["Ta", "Pb", "Pb", "Ni"], "frac_coords": [[0.750, 0.750, 0.750], [0.524, 0.524, 0.486], [0.976, 0.976, 0.014], [0.250, 0.250, 0.250]], "relative_energy_mev_per_atom": 455, "formation_energy_mev_per_atom": 618.5}

***

{"formula": "ZnSbPb2", "functional": "PBE", "state": "optimized geometry", "lattice_angstrom": [[3.948, 0.000, 0.000], [0.000, 3.946, 0.000], [0.000, 0.000, 7.107]], "species": ["Zn", "Pb", "Pb", "Sb"], "frac_coords": [[0.500, 0.500, 0.750], [0.000, 0.000, 0.504], [0.000, 0.000, 0.996], [0.500, 0.500, 0.250]], "relative_energy_mev_per_atom": 31}

***

{"formula": "SmEuCuAu", "functional": "PBE", "state": "optimized geometry", "lattice_angstrom": [[5.163, 0.000, 0.000], [2.581, 4.471, 0.000], [2.581, 1.490, 4.215]], "species": ["Au", "Cu", "Sm", "Eu"], "frac_coords": [[0.250, 0.250, 0.250], [0.750, 0.750, 0.750], [0.500, 0.500, 0.500], [0.000, 0.000, 0.000]], "formation_energy_mev_per_atom": -442.3}

***

{"formula": "TlSnICl2", "functional": "PBE", "state": "optimized geometry", "lattice_angstrom": [[5.514, 0.000, 0.000], [0.000, 5.514, 0.000], [0.000, 0.000, 6.317]], "species": ["Tl", "Cl", "Cl", "Sn", "I"], "frac_coords": [[0.500, 0.500, 0.500], [0.500, 0.000, 0.000], [0.000, 0.500, 0.000], [0.000, 0.000, 0.000], [0.000, 0.000, 0.500]], "relative_energy_mev_per_atom": 28}